[1]
Here is a geometry-optimized Cs2ZnS structure from Alexandria. Energies are from PBE.

```
4
Lattice="0.0000 4.2353 4.2353 4.2353 0.0000 4.2353 4.2353 4.2353 0.0000" Properties=species:S:1:pos:R:3 pbc="T T T"
Cs 2.1177 2.1177 2.1177
Cs 6.3530 6.3530 6.3530
Zn 4.2353 4.2353 4.2353
S 0.0000 0.0000 0.0000
```

**Energy**: -2.26 eV per atom
**Space group**: No. 225
**Density**: 4.0 g/cm3
**Volume**: 151.9 Å³/f.u.

[2]
Here is a geometry-optimized DySi6Ir3 structure from Alexandria. Energies are from PBE.

```
20
Lattice="-0.2687 3.8172 -0.7307 -0.8768 -1.5603 -7.8288 -10.0578 0.2766 5.1430" Properties=species:S:1:pos:R:3 pbc="T T T"
Si -10.1219 1.0592 4.0625
Si -3.1892 0.5609 -1.0896
Si -10.3696 0.3284 0.3356
Si -0.8337 2.2051 -3.7521
Si -7.4695 0.6854 1.1344
Si -3.7338 1.8480 -4.5509
Si -1.0814 1.4742 -7.4791
Si -6.7581 -0.4192 -4.8977
Si -4.4452 2.9526 1.4811
Si -8.0141 1.9725 -2.3269
Si -6.3052 2.4076 -0.6822
Si -4.8981 0.1258 -2.7343
Ir -6.1847 1.7823 -3.9932
Ir -5.0186 0.7512 0.5767
Ir -1.6426 2.5554 -1.6245
Ir -8.8618 2.3640 0.0299
Ir -9.5607 -0.0219 -1.7920
Ir -2.3415 0.1695 -3.4464
Dy -2.8852 -0.4373 -6.4165
Dy -8.3181 2.9708 2.9999
```

**Energy**: -6.95 eV per atom
**Space group**: No. 11
**Density**: 9.1 g/cm3
**Volume**: 165.5 Å³/f.u.

[3]
Here is a geometry-optimized CuBiTeS structure from Alexandria. Energies are from PBE.

```
8
Lattice="-4.0149 -0.5825 2.1570 2.2005 -0.2625 4.0249 -0.7713 9.0671 1.0130" Properties=species:S:1:pos:R:3 pbc="T T T"
Bi 0.8418 2.9066 2.3519
Bi -2.5203 5.7380 1.7521
Cu -0.9072 -0.4225 3.0909
Cu 0.0000 0.0000 0.0000
Te 0.4507 7.5047 2.8656
Te -2.1292 1.1399 1.2384
S -1.2929 4.1110 3.5974
S -0.3856 4.5335 0.5065
```

**Energy**: -3.89 eV per atom
**Space group**: No. 129
**Density**: 7.4 g/cm3
**Volume**: 96.6 Å³/f.u.

[4]
Here is a geometry-optimized RbPH6C2N4O4 structure from Alexandria. Energies are from PBE.

```
36
Lattice="8.6255 0.0016 -0.0020 4.7317 6.9011 0.0006 3.8938 1.5594 6.7210" Properties=species:S:1:pos:R:3 pbc="T T T"
O 7.3986 0.9436 2.6618
O 9.5524 2.0602 6.3210
O 7.8746 5.6619 6.1311
O 10.2364 7.2551 4.3891
O 12.1874 3.3239 4.2711
O 9.9714 2.3922 1.1018
O 5.9236 4.6598 2.3279
O 7.8176 6.2090 1.3638
N 6.4105 4.2302 5.1323
N 7.8496 5.5636 3.8417
N 10.2216 4.6563 1.0534
N 12.1623 5.5764 3.8503
N 8.2509 3.6874 1.8853
N 10.7232 4.6200 5.4405
N 9.8026 1.5965 4.1044
N 12.5636 7.9057 5.2365
C 7.3791 5.1629 5.0751
C 11.6918 4.4652 4.5189
C 9.5056 3.5504 1.3285
C 9.0866 1.5780 5.2438
Rb 4.4205 2.0416 1.7729
Rb 4.8395 6.8272 0.0936
H 10.3073 3.7632 5.8221
H 5.8921 3.9761 4.2930
H 12.9646 5.3585 3.2408
H 9.7752 5.5720 1.0603
H 7.8332 2.7808 2.1424
H 10.6708 2.1431 4.1129
H 11.0898 4.5246 0.5228
H 12.1460 7.8598 6.1778
H 8.6518 6.2065 3.9165
H 5.9945 4.0518 6.0530
H 10.2048 5.4950 5.4987
H 9.3563 1.3830 3.2139
P 11.6790 7.2100 3.9534
P 7.3663 5.0945 2.2735
```

**Energy**: -6.37 eV per atom
**Space group**: No. 43
**Density**: 2.2 g/cm3
**Volume**: 200.0 Å³/f.u.

[5]
Here is a geometry-optimized Pr6Sb2Te3I structure from Alexandria. Energies are from PBE.

```
12
Lattice="4.5632 0.0000 0.0000 0.0000 9.0975 0.3618 -2.2816 -2.5831 9.5940" Properties=species:S:1:pos:R:3 pbc="T T T"
Sb 0.0000 2.1652 3.3318
Sb 2.2816 4.3492 6.6240
Te 2.2816 -0.2611 6.5994
Te 0.0000 6.7755 3.3565
Te 2.2816 4.5487 0.1809
Pr 2.2816 4.0352 9.7399
Pr 0.0000 2.4792 0.2159
Pr 0.0000 2.1114 6.5096
Pr 0.0000 6.5386 6.4911
Pr 2.2816 -0.0242 3.4647
Pr 2.2816 4.4030 3.4462
I 2.2816 0.0000 0.0000
```

**Energy**: -5.28 eV per atom
**Space group**: No. 12
**Density**: 6.6 g/cm3
**Volume**: 402.5 Å³/f.u.

[6]
Here is a geometry-optimized ScTcMo2 structure from Alexandria. Energies are from PBE.

```
4
Lattice="-3.4444 -4.0085 0.5846 3.4818 1.2238 3.8279 -1.8254 1.7300 1.1072" Properties=species:S:1:pos:R:3 pbc="T T T"
Tc 0.8282 1.4769 2.4676
Mo 0.0187 -1.3923 2.2062
Mo 0.0000 0.0000 0.0000
Sc -2.6349 -1.1392 0.8459
```

**Energy**: -9.37 eV per atom
**Energy of formation from the pure elements**: 0.874 eV/f.u.
**Space group**: No. 65
**Density**: 8.4 g/cm3
**Offset from the most stable computed form**: 327 meV per atom
**Volume**: 66.4 Å³/f.u.

Question: density of number 5 (Pr6Sb2Te3I)?
Answer: 6.6 g/cm3